## Zr2OsSe (PBE)

Data for crystalline Zr2OsSe at its relaxed geometry.

Values from the calculation:
Uncorrected formation energy (eV/atom): 0.151
Total energy (eV/atom): -7.802
Crystal system: cubic

Lattice parameters (Å, degrees): 4.717 4.717 4.717 60.00 60.00 60.00
Site moments in Bohr magnetons follow the coordinates.
Element x y z (fractional)
1 Se 0.750 0.750 0.750  -0.01
2 Os 0.500 0.500 0.500  0.06
3 Zr 0.250 0.250 0.250  0.28
4 Zr 0.000 0.000 0.000  0.70


## Zr2OsSe (PBE)

Data for crystalline Zr2OsSe at its relaxed geometry.

Values from the calculation:
Uncorrected formation energy (eV/atom): -0.578
Total energy (eV/atom): -8.530
Crystal system: orthorhombic

Lattice parameters (Å, degrees): 4.429 3.361 5.370 71.74 90.00 90.00
Element x y z (fractional)
1 Se 0.500 0.535 0.806
2 Os 0.000 0.720 0.434
3 Zr 0.500 0.262 0.351
4 Zr 0.000 0.983 0.909


## Zr2Os2Se (PBE)

Data for crystalline Zr2Os2Se at its relaxed geometry.

Values from the calculation:
Uncorrected formation energy (eV/atom): -0.227
Total energy (eV/atom): -8.836
Crystal system: tetragonal

Lattice parameters (Å, degrees): 8.187 8.187 8.187 154.88 154.88 35.83
Element x y z (fractional)
1 Os 0.750 0.250 0.500
2 Os 0.250 0.750 0.500
3 Zr 0.393 0.393 0.000
4 Zr 0.607 0.607 0.000
5 Se 0.000 0.000 0.000


## Zr2OsSe (PBE)

Data for crystalline Zr2OsSe at its relaxed geometry.

Values from the calculation:
Uncorrected formation energy (eV/atom): 0.054
Total energy (eV/atom): -7.899
Crystal system: tetragonal

Lattice parameters (Å, degrees): 6.029 6.029 7.445 66.12 66.12 90.00
Element x y z (fractional)
1 Zr 0.875 0.897 0.750
2 Zr 0.647 0.125 0.250
3 Zr 0.103 0.625 0.250
4 Se 0.250 0.750 0.500
5 Se 0.500 0.500 0.000
6 Os 0.000 0.000 0.000
7 Os 0.750 0.250 0.500
8 Zr 0.375 0.353 0.750


## SiOs2 (PBE)

Data for crystalline SiOs2 at its relaxed geometry.

Values from the calculation:
Uncorrected formation energy (eV/atom): -0.134
Total energy (eV/atom): -9.428
Crystal system: monoclinic

Lattice parameters (Å, degrees): 7.045 2.842 8.953 90.00 114.51 90.00
Element x y z (fractional)
1 Os 0.797 0.500 0.007
2 Os 0.797 0.000 0.507
3 Os 0.567 0.500 0.658
4 Os 0.433 0.000 0.842
5 Si 0.891 0.000 0.815
6 Os 0.433 0.500 0.342
7 Si 0.891 0.500 0.315
8 Os 0.567 0.000 0.158
9 Si 0.109 0.000 0.185
10 Os 0.203 0.500 0.993
11 Si 0.109 0.500 0.685
12 Os 0.203 0.000 0.493


## SiOs2 (PBE)

Data for crystalline SiOs2 at its relaxed geometry.

Values from the calculation:
Uncorrected formation energy (eV/atom): -0.069
Total energy (eV/atom): -9.363
Crystal system: tetragonal

Lattice parameters (Å, degrees): 2.785 2.785 5.802 90.00 90.00 90.00
Element x y z (fractional)
1 Os 0.000 0.500 0.147
2 Si 0.500 0.500 0.500
3 Os 0.500 0.000 0.853


## SiOs2 (PBE)

Data for crystalline SiOs2 at its relaxed geometry.

Values from the calculation:
Uncorrected formation energy (eV/atom): -0.131
Total energy (eV/atom): -9.425
Crystal system: trigonal

Lattice parameters (Å, degrees): 2.786 2.786 18.269 90.00 90.00 120.00
Element x y z (fractional)
1 Os 0.000 0.000 0.273
2 Os 0.000 0.000 0.727
3 Os 0.667 0.333 0.060
4 Os 0.333 0.667 0.394
5 Si 0.667 0.333 0.833
6 Os 0.667 0.333 0.606
7 Si 0.000 0.000 0.500
8 Os 0.333 0.667 0.940
9 Si 0.333 0.667 0.167


## SiOs2 (PBE)

Data for crystalline SiOs2 at its relaxed geometry.

Values from the calculation:
Uncorrected formation energy (eV/atom): 0.081
Total energy (eV/atom): -9.213
Crystal system: orthorhombic

Lattice parameters (Å, degrees): 2.794 4.133 7.197 90.00 90.00 90.00
Element x y z (fractional)
1 Os 0.744 0.500 0.833
2 Os 0.256 0.500 0.167
3 Os 0.244 0.000 0.667
4 Os 0.756 0.000 0.333
5 Si 0.000 0.000 0.000
6 Si 0.500 0.500 0.500


## Si4Os (PBE)

Data for crystalline Si4Os at its relaxed geometry.

Values from the calculation:
Uncorrected formation energy (eV/atom): 0.755
Total energy (eV/atom): -5.830
Crystal system: cubic

Lattice parameters (Å, degrees): 4.636 4.636 4.636 90.00 90.00 90.00
Element x y z (fractional)
1 Si 0.500 0.000 0.500
2 Os 0.500 0.500 0.500
3 Si 0.000 0.000 0.000
4 Si 0.500 0.500 0.000
5 Si 0.000 0.500 0.500


## SiOs5 (PBE)

Data for crystalline SiOs5 at its relaxed geometry.

Values from the calculation:
Uncorrected formation energy (eV/atom): 0.042
Total energy (eV/atom): -10.220
Energy above the lowest structure with this stoichiometry (meV per atom): 0
Crystal system: tetragonal

Lattice parameters (Å, degrees): 2.803 2.803 10.588 90.00 90.00 90.00
Element x y z (fractional)
1 Os 0.000 0.000 0.857
2 Os 0.000 0.000 0.143
3 Os 0.000 0.000 0.500
4 Os 0.500 0.500 0.322
5 Os 0.500 0.500 0.678
6 Si 0.500 0.500 0.000


## SiOs5 (PBE)

Data for crystalline SiOs5 at its relaxed geometry.

Values from the calculation:
Uncorrected formation energy (eV/atom): 1.116
Total energy (eV/atom): -9.146
Energy above the lowest structure with this stoichiometry (meV per atom): 1074
Crystal system: cubic

Lattice parameters (Å, degrees): 5.100 5.100 5.100 60.00 60.00 60.00
Element x y z (fractional)
1 Os 0.625 0.126 0.625
2 Os 0.126 0.625 0.625
3 Os 0.625 0.625 0.625
4 Os 0.625 0.625 0.126
5 Si 0.000 0.000 0.000
6 Os 0.250 0.250 0.250


## SiOs (PBE)

Data for crystalline SiOs at its relaxed geometry.

Values from the calculation:
Uncorrected formation energy (eV/atom): -0.362
Total energy (eV/atom): -8.689
Crystal system: cubic

Lattice parameters (Å, degrees): 4.787 4.787 4.787 90.00 90.00 90.00
Element x y z (fractional)
1 Os 0.373 0.127 0.127
2 Si 0.914 0.914 0.086
3 Os 0.627 0.627 0.373
4 Si 0.414 0.586 0.914
5 Si 0.586 0.086 0.586
6 Os 0.873 0.373 0.873
7 Os 0.127 0.873 0.627
8 Si 0.086 0.414 0.414


## Si5Os (PBE)

Data for crystalline Si5Os at its relaxed geometry.

Values from the calculation:
Uncorrected formation energy (eV/atom): 0.804
Total energy (eV/atom): -5.587
Energy above the lowest structure with this stoichiometry (meV per atom): 655
Crystal system: cubic

Lattice parameters (Å, degrees): 4.942 4.942 4.942 60.00 60.00 60.00
Element x y z (fractional)
1 Si 0.250 0.250 0.250
2 Si 0.624 0.129 0.624
3 Si 0.624 0.624 0.129
4 Si 0.624 0.624 0.624
5 Si 0.129 0.624 0.624
6 Os 0.000 0.000 0.000


## SiOs (PBE)

Data for crystalline SiOs at its relaxed geometry.

Values from the calculation:
Uncorrected formation energy (eV/atom): -0.178
Total energy (eV/atom): -8.504
Crystal system: orthorhombic

Lattice parameters (Å, degrees): 5.056 5.096 8.486 90.00 90.00 90.00
Element x y z (fractional)
1 Si 0.838 0.160 0.010
2 Si 0.338 0.340 0.990
3 Os 0.885 0.972 0.264
4 Si 0.162 0.660 0.490
5 Os 0.258 0.861 0.008
6 Os 0.758 0.639 0.992
7 Si 0.662 0.840 0.510
8 Os 0.742 0.361 0.492
9 Os 0.242 0.139 0.507
10 Os 0.385 0.528 0.736
11 Os 0.115 0.472 0.236
12 Si 0.086 0.935 0.749
13 Si 0.586 0.565 0.251
14 Os 0.615 0.028 0.764
15 Si 0.914 0.435 0.751
16 Si 0.414 0.065 0.249


## SiOs3 (PBE)

Data for crystalline SiOs3 at its relaxed geometry.

Values from the calculation:
Uncorrected formation energy (eV/atom): 0.172
Total energy (eV/atom): -9.606
Crystal system: orthorhombic

Lattice parameters (Å, degrees): 2.774 3.781 5.314 90.00 90.00 90.00
Element x y z (fractional)
1 Os 0.000 0.000 0.500
2 Si 0.000 0.000 0.000
3 Os 0.500 0.500 0.245
4 Os 0.500 0.500 0.755


## SiOs3 (PBE)

Data for crystalline SiOs3 at its relaxed geometry.

Values from the calculation:
Uncorrected formation energy (eV/atom): 0.334
Total energy (eV/atom): -9.444
Crystal system: tetragonal

Lattice parameters (Å, degrees): 4.473 4.473 2.824 90.00 90.00 90.00
Element x y z (fractional)
1 Os 0.500 0.500 0.000
2 Os 0.500 0.000 0.500
3 Os 0.000 0.000 0.000
4 Si 0.000 0.500 0.500


## Si3Os (PBE)

Data for crystalline Si3Os at its relaxed geometry.

Values from the calculation:
Uncorrected formation energy (eV/atom): 0.385
Total energy (eV/atom): -6.490
Crystal system: orthorhombic

Lattice parameters (Å, degrees): 2.838 2.838 8.024 90.00 90.00 116.74
Element x y z (fractional)
1 Si 0.500 0.500 0.758
2 Si 0.500 0.500 0.242
3 Si 0.000 0.000 0.500
4 Os 0.000 0.000 0.000


## Si3Os (PBE)

Data for crystalline Si3Os at its relaxed geometry.

Values from the calculation:
Uncorrected formation energy (eV/atom): -0.107
Total energy (eV/atom): -6.982
Crystal system: orthorhombic

Lattice parameters (Å, degrees): 6.101 6.016 6.669 90.00 90.00 90.00
Element x y z (fractional)
1 Si 0.355 0.853 0.077
2 Si 0.355 0.853 0.423
3 Si 0.645 0.147 0.577
4 Os 0.488 0.208 0.250
5 Si 0.145 0.353 0.077
6 Si 0.879 0.081 0.250
7 Si 0.621 0.581 0.250
8 Os 0.012 0.708 0.250
9 Os 0.988 0.292 0.750
10 Si 0.121 0.919 0.750
11 Si 0.145 0.353 0.423
12 Si 0.855 0.647 0.923
13 Si 0.379 0.419 0.750
14 Si 0.645 0.147 0.923
15 Si 0.855 0.647 0.577
16 Os 0.512 0.792 0.750


## Si5Os (PBE)

Data for crystalline Si5Os at its relaxed geometry.

Values from the calculation:
Uncorrected formation energy (eV/atom): 0.795
Total energy (eV/atom): -5.596
Energy above the lowest structure with this stoichiometry (meV per atom): 647
Crystal system: hexagonal

Lattice parameters (Å, degrees): 4.673 4.673 4.800 90.00 90.00 120.00
Element x y z (fractional)
1 Os 0.000 0.000 0.000
2 Si 0.333 0.667 0.000
3 Si 0.000 0.500 0.500
4 Si 0.500 0.500 0.500
5 Si 0.667 0.333 0.000
6 Si 0.500 0.000 0.500


## SiOs (PBE)

Data for crystalline SiOs at its relaxed geometry.

Values from the calculation:
Uncorrected formation energy (eV/atom): 0.733
Total energy (eV/atom): -7.593
Crystal system: cubic

Lattice parameters (Å, degrees): 6.564 6.564 6.564 90.00 90.00 90.00
Element x y z (fractional)
1 Si 0.500 0.000 0.250
2 Os 0.000 0.500 0.250
3 Si 0.750 0.500 0.000
4 Si 0.500 0.000 0.750
5 Si 0.000 0.250 0.500
6 Os 0.250 0.000 0.500
7 Os 0.750 0.000 0.500
8 Os 0.000 0.500 0.750
9 Si 0.250 0.500 0.000
10 Os 0.500 0.250 0.000
11 Os 0.500 0.750 0.000
12 Si 0.000 0.750 0.500


## SiOs (PBE)

Data for crystalline SiOs at its relaxed geometry.

Values from the calculation:
Uncorrected formation energy (eV/atom): 0.636
Total energy (eV/atom): -7.691
Crystal system: cubic

Lattice parameters (Å, degrees): 7.335 7.335 7.335 90.00 90.00 90.00
Element x y z (fractional)
1 Os 0.866 0.866 0.866
2 Si 0.183 0.183 0.183
3 Si 0.317 0.683 0.317
4 Os 0.366 0.634 0.634
5 Si 0.317 0.317 0.683
6 Os 0.366 0.366 0.366
7 Os 0.634 0.366 0.634
8 Si 0.817 0.183 0.817
9 Si 0.817 0.817 0.183
10 Si 0.683 0.317 0.317
11 Os 0.634 0.634 0.366
12 Si 0.183 0.817 0.817
13 Os 0.866 0.134 0.134
14 Os 0.134 0.866 0.134
15 Os 0.134 0.134 0.866
16 Si 0.683 0.683 0.683


## SiOs5 (PBE)

Data for crystalline SiOs5 at its relaxed geometry.

Values from the calculation:
Uncorrected formation energy (eV/atom): 0.052
Total energy (eV/atom): -10.210
Energy above the lowest structure with this stoichiometry (meV per atom): 10
Crystal system: monoclinic

Lattice parameters (Å, degrees): 5.157 5.157 6.467 73.42 73.42 31.21
Element x y z (fractional)
1 Os 0.931 0.931 0.623
2 Os 0.021 0.021 0.998
3 Os 0.654 0.654 0.653
4 Si 0.284 0.284 0.951
5 Os 0.334 0.334 0.326
6 Os 0.609 0.609 0.283


## SiOs (PBE)

Data for crystalline SiOs at its relaxed geometry.

Values from the calculation:
Uncorrected formation energy (eV/atom): -0.051
Total energy (eV/atom): -8.377
Crystal system: monoclinic

Lattice parameters (Å, degrees): 5.439 5.439 5.565 75.40 75.40 31.06
Element x y z (fractional)
1 Si 0.041 0.041 0.425
2 Os 0.339 0.339 0.275
3 Os 0.391 0.391 0.730
4 Si 0.721 0.721 0.070
5 Si 0.005 0.005 0.984
6 Os 0.669 0.669 0.683


## SiOs (PBE)

Data for crystalline SiOs at its relaxed geometry.

Values from the calculation:
Uncorrected formation energy (eV/atom): -0.176
Total energy (eV/atom): -8.502
Crystal system: monoclinic

Lattice parameters (Å, degrees): 3.700 2.863 10.804 90.00 101.28 90.00
Element x y z (fractional)
1 Si 0.373 0.500 0.657
2 Si 0.230 0.000 0.413
3 Os 0.921 0.000 0.734
4 Os 0.921 0.500 0.234
5 Si 0.373 0.000 0.157
6 Si 0.230 0.500 0.913
7 Os 0.783 0.000 0.997
8 Os 0.783 0.500 0.497


## Si5Os (PBE)

Data for crystalline Si5Os at its relaxed geometry.

Values from the calculation:
Uncorrected formation energy (eV/atom): 0.278
Total energy (eV/atom): -6.113
Energy above the lowest structure with this stoichiometry (meV per atom): 129
Crystal system: tetragonal

Lattice parameters (Å, degrees): 2.911 2.911 10.090 90.00 90.00 90.00
Element x y z (fractional)
1 Si 0.000 0.000 0.150
2 Si 0.000 0.000 0.500
3 Si 0.000 0.000 0.850
4 Si 0.500 0.500 0.339
5 Os 0.500 0.500 0.000
6 Si 0.500 0.500 0.661